No. 1
This record from the Alexandria database describes AlCoAg2 after structural relaxation. The functional is PBE.

Space group   No. 216
Calculated formation energy   0.127 eV per atom
Final energy   -4.011 eV/atom

Geometry as POSCAR:
```
AlCoAg2
1.0
0.000 3.122 3.122
3.122 0.000 3.122
3.122 3.122 0.000
Al Co Ag
1 1 2
Cartesian
0.000 0.000 0.000 Al
1.561 1.561 1.561 Co
3.122 3.122 3.122 Ag
4.683 4.683 4.683 Ag
```

No. 2
This record from the Alexandria database describes CaTaAs3 after structural relaxation. The functional is PBE.

Space group   No. 221
Calculated formation energy   1.467 eV per atom
Final energy   -4.093 eV/atom
Offset from the most stable computed form   1751 meV per atom

Geometry as POSCAR:
```
CaTaAs3
1.0
5.066 0.000 0.000
0.000 5.066 0.000
0.000 0.000 5.066
Ca Ta As
1 1 3
Cartesian
0.000 0.000 0.000 Ca
2.533 2.533 2.533 Ta
0.000 0.000 2.533 As
0.000 2.533 0.000 As
2.533 0.000 0.000 As
```

No. 3
This record from the Alexandria database describes Li5ZrPb6 after structural relaxation. The functional is PBE.

Space group   No. 65
Calculated formation energy   -0.228 eV per atom
Final energy   -3.592 eV/atom

Geometry as POSCAR:
```
Li5ZrPb6
1.0
2.543 -7.718 0.000
2.543 7.718 0.000
0.000 0.000 7.006
Li Zr Pb
5 1 6
Cartesian
0.000 0.000 0.000 Li
2.543 2.699 0.000 Li
2.543 2.458 3.503 Li
2.543 -2.458 3.503 Li
2.543 -2.699 0.000 Li
0.000 0.000 3.503 Zr
2.543 5.083 1.768 Pb
2.543 5.083 5.238 Pb
2.543 0.000 1.671 Pb
2.543 0.000 5.334 Pb
2.543 -5.083 1.768 Pb
2.543 -5.083 5.238 Pb
```

No. 4
This record from the Alexandria database describes TiSi2Ni5 after structural relaxation. The functional is PBE.

Space group   No. 71
Final energy   -6.402 eV/atom

Geometry as POSCAR:
```
TiSi2Ni5
1.0
-1.639 3.335 4.483
1.639 -3.335 4.483
1.639 3.335 -4.483
Ti Si Ni
1 2 5
Cartesian
0.000 0.000 0.000 Ti
1.639 0.000 2.191 Si
0.000 3.335 2.292 Si
1.639 2.016 -1.267 Ni
1.639 2.016 1.267 Ni
0.000 3.335 0.000 Ni
0.000 1.319 3.216 Ni
0.000 1.319 5.750 Ni
```

No. 5
This record from the Alexandria database describes AlIn2Ag after structural relaxation. The functional is PBE.

Space group   No. 139
Calculated formation energy   0.125 eV per atom
Final energy   -2.892 eV/atom

Geometry as POSCAR:
```
AlIn2Ag
1.0
-2.234 2.234 4.345
2.234 -2.234 4.345
2.234 2.234 -4.345
Al In Ag
1 2 1
Cartesian
0.000 0.000 0.000 Al
2.234 0.000 2.172 In
0.000 2.234 2.172 In
0.000 0.000 4.345 Ag
```

No. 6
This record from the Alexandria database describes Ca2MnI6 after structural relaxation. The functional is PBE.

Space group   No. 162
Final energy   -3.714 eV/atom

Geometry as POSCAR:
```
Ca2MnI6
1.0
7.654 0.000 0.000
-3.827 6.629 0.000
0.000 0.000 7.613
Ca Mn I
2 1 6
Cartesian
0.000 4.419 0.000 Ca
3.827 2.210 0.000 Ca
0.000 0.000 0.000 Mn
-1.195 2.069 1.723 I
-2.633 4.560 5.890 I
2.389 0.000 1.723 I
1.195 2.069 5.890 I
5.265 0.000 5.890 I
2.633 4.560 1.723 I
```

No. 7
This record from the Alexandria database describes SmAg2Ge2 after structural relaxation. The functional is PBE.

Space group   No. 69
Calculated formation energy   -0.399 eV per atom
Final energy   -4.330 eV/atom

Geometry as POSCAR:
```
SmAg2Ge2
1.0
0.000 3.026 5.580
3.020 0.000 5.580
3.020 3.026 0.000
Sm Ag Ge
1 2 2
Cartesian
0.000 0.000 0.000 Sm
1.510 1.513 2.790 Ag
4.530 4.539 8.369 Ag
3.020 3.026 4.361 Ge
3.020 3.026 6.798 Ge
```

No. 8
This record from the Alexandria database describes Tm4ZnPt3 after structural relaxation. The functional is PBE.

Space group   No. 25
Calculated formation energy   -1.102 eV per atom
Final energy   -5.762 eV/atom

Geometry as POSCAR:
```
Tm4ZnPt3
1.0
3.700 0.000 0.000
0.000 4.440 0.000
0.000 0.000 10.561
Tm Zn Pt
4 1 3
Cartesian
0.000 0.000 0.000 Tm
0.000 2.220 2.859 Tm
1.850 0.000 5.130 Tm
1.850 2.220 8.165 Tm
0.000 0.000 7.502 Zn
0.000 2.220 5.866 Pt
1.850 0.000 2.336 Pt
1.850 2.220 0.436 Pt
```

No. 9
This record from the Alexandria database describes BeInRe2 after structural relaxation. The functional is PBE.

Space group   No. 8
Calculated formation energy   0.487 eV per atom
Final energy   -7.353 eV/atom
Offset from the most stable computed form   400 meV per atom

Geometry as POSCAR:
```
BeInRe2
1.0
4.195 -1.438 0.000
4.195 1.438 0.000
-0.685 0.000 5.343
Be In Re
1 1 2
Cartesian
0.000 0.000 0.000 Be
1.458 0.000 3.751 In
3.823 0.000 1.973 Re
6.047 0.000 0.918 Re
```

No. 10
This record from the Alexandria database describes LiYTe2 after structural relaxation. The functional is PBE.

Space group   No. 63
Final energy   -4.817 eV/atom

Geometry as POSCAR:
```
LiYTe2
1.0
3.855 -7.415 0.000
3.855 7.415 0.000
0.000 0.000 4.276
Li Y Te
2 2 4
Cartesian
3.855 6.191 3.207 Li
3.855 -6.191 1.069 Li
3.855 3.002 1.069 Y
3.855 -3.002 3.207 Y
1.875 1.915 3.207 Te
1.875 -1.915 1.069 Te
5.835 1.915 3.207 Te
5.835 -1.915 1.069 Te
```

No. 11
This record from the Alexandria database describes Ac4GaAsCl2 after structural relaxation. The functional is PBE.

Space group   No. 10
Final energy   -4.745 eV/atom

Geometry as POSCAR:
```
Ac4GaAsCl2
1.0
7.517 0.000 0.000
0.000 4.631 0.000
-2.859 0.000 7.410
Ac Ga As Cl
4 1 1 2
Cartesian
1.087 0.000 1.797 Ac
-0.357 2.315 5.546 Ac
3.572 0.000 5.613 Ac
5.015 2.315 1.864 Ac
0.000 2.315 0.000 Ga
-1.429 0.000 3.705 As
3.759 0.000 0.000 Cl
2.329 2.315 3.705 Cl
```

No. 12
This record from the Alexandria database describes LaHfHgF2 after structural relaxation. The functional is PBE.

Space group   No. 123
Final energy   -5.321 eV/atom

Geometry as POSCAR:
```
LaHfHgF2
1.0
4.438 0.000 0.000
0.000 4.438 0.000
0.000 0.000 7.424
La Hf Hg F
1 1 1 2
Cartesian
0.000 0.000 0.000 La
0.000 0.000 3.712 Hf
2.219 2.219 3.712 Hg
0.000 2.219 0.000 F
2.219 0.000 0.000 F
```

No. 13
This record from the Alexandria database describes SnNCl2 after structural relaxation. The functional is PBE.

Space group   No. 141
Final energy   -3.045 eV/atom
Offset from the most stable computed form   432 meV per atom

Geometry as POSCAR:
```
SnNCl2
1.0
-3.216 3.216 4.369
3.216 -3.216 4.369
3.216 3.216 -4.369
Sn N Cl
2 2 4
Cartesian
3.216 1.608 1.092 Sn
0.000 1.608 3.276 Sn
3.216 -1.608 3.276 N
0.000 4.824 1.092 N
0.000 0.000 0.000 Cl
1.608 1.608 -2.184 Cl
1.608 -1.608 2.184 Cl
0.000 3.216 0.000 Cl
```

No. 14
This record from the Alexandria database describes TbGd3Os after structural relaxation. The functional is PBE.

Space group   No. 221
Calculated formation energy   0.029 eV per atom
Final energy   -11.591 eV/atom

Geometry as POSCAR:
```
TbGd3Os
1.0
5.465 0.000 0.000
0.000 5.465 0.000
0.000 0.000 5.465
Tb Gd Os
1 3 1
Cartesian
0.000 0.000 0.000 Tb
0.000 2.732 2.732 Gd
2.732 0.000 2.732 Gd
2.732 2.732 0.000 Gd
2.732 2.732 2.732 Os
```

No. 15
This record from the Alexandria database describes Pu2RhN after structural relaxation. The functional is PBE.

Space group   No. 160
Final energy   -11.652 eV/atom
Offset from the most stable computed form   168 meV per atom

Geometry as POSCAR:
```
Pu2RhN
1.0
1.729 0.998 7.012
-1.729 0.998 7.012
0.000 -1.997 7.012
Pu Rh N
2 1 1
Cartesian
0.000 0.000 0.000 Pu
0.000 0.000 2.940 Pu
0.000 0.000 11.929 Rh
0.000 0.000 15.602 N
```

No. 16
This record from the Alexandria database describes Pa3SeBr7 after structural relaxation. The functional is PBE.

Space group   No. 156
Final energy   -5.269 eV/atom

Geometry as POSCAR:
```
Pa3SeBr7
1.0
7.920 0.000 0.000
-3.960 6.859 0.000
0.000 0.000 7.408
Pa Se Br
3 1 7
Cartesian
0.000 2.393 0.000 Pa
-1.887 5.662 0.000 Pa
1.887 5.662 0.000 Pa
0.000 0.000 5.883 Se
0.000 4.573 2.045 Br
2.014 1.163 1.700 Br
3.960 0.031 5.613 Br
2.007 3.414 5.613 Br
5.906 1.163 1.700 Br
3.960 4.533 1.700 Br
5.913 3.414 5.613 Br
```

No. 17
This record from the Alexandria database describes PPb after structural relaxation. The functional is PBE.

Space group   No. 164
Calculated formation energy   0.215 eV per atom
Final energy   -4.344 eV/atom

Geometry as POSCAR:
```
PPb
1.0
4.844 0.000 0.000
-2.422 4.195 0.000
0.000 0.000 17.508
P Pb
6 6
Cartesian
0.000 0.000 1.097 P
0.000 0.000 16.410 P
0.000 2.796 4.249 P
0.000 2.796 6.491 P
2.422 1.398 11.017 P
2.422 1.398 13.259 P
0.000 0.000 4.778 Pb
0.000 0.000 12.730 Pb
0.000 2.796 1.348 Pb
0.000 2.796 10.006 Pb
2.422 1.398 7.502 Pb
2.422 1.398 16.160 Pb
```

No. 18
This record from the Alexandria database describes Ce4Sm3YS8 after structural relaxation. The functional is PBE.

Space group   No. 166
Final energy   -6.873 eV/atom

Geometry as POSCAR:
```
Ce4Sm3YS8
1.0
4.001 2.310 6.560
-4.001 2.310 6.560
0.000 -4.620 6.560
Ce Sm Y S
4 3 1 8
Cartesian
0.000 0.000 0.000 Ce
-2.001 -1.155 6.560 Ce
-2.001 1.155 13.120 Ce
0.000 2.310 6.560 Ce
-4.001 0.000 9.840 Sm
-2.001 1.155 3.280 Sm
2.001 1.155 3.280 Sm
0.000 0.000 9.840 Y
0.000 0.000 4.906 S
-1.977 -1.141 11.447 S
0.000 -2.282 8.233 S
-1.977 1.141 8.233 S
1.977 -1.141 11.447 S
0.000 2.282 11.447 S
1.977 1.141 8.233 S
0.000 0.000 14.773 S
```

No. 19
This record from the Alexandria database describes Tb6YTm4 after structural relaxation. The functional is PBE.

Space group   No. 121
Calculated formation energy   0.315 eV per atom
Final energy   -4.424 eV/atom
Offset from the most stable computed form   192 meV per atom

Geometry as POSCAR:
```
Tb6YTm4
1.0
-3.263 3.263 8.523
3.263 -3.263 8.523
3.263 3.263 -8.523
Tb Y Tm
6 1 4
Cartesian
3.263 0.000 0.000 Tb
2.041 -2.041 5.546 Tb
1.222 1.222 2.977 Tb
0.000 3.263 0.000 Tb
-2.041 2.041 5.546 Tb
2.041 2.041 11.500 Tb
0.000 0.000 0.000 Y
2.090 2.090 -2.231 Tm
1.173 -1.173 10.754 Tm
1.173 1.173 6.292 Tm
-1.173 1.173 10.754 Tm
```

No. 20
This record from the Alexandria database describes Mn2CoN2 after structural relaxation. The functional is PBE.

Space group   No. 36
Final energy   -8.427 eV/atom
Offset from the most stable computed form   167 meV per atom

Geometry as POSCAR:
```
Mn2CoN2
1.0
3.248 -3.057 0.000
3.248 3.057 0.000
0.000 0.000 5.319
Mn Co N
4 2 4
Cartesian
1.186 0.976 0.000 Mn
1.186 -0.976 2.660 Mn
5.311 0.976 0.000 Mn
5.311 -0.976 2.660 Mn
3.248 0.131 3.859 Co
3.248 -0.131 1.200 Co
1.471 0.595 3.562 N
1.471 -0.595 0.903 N
5.026 0.595 3.562 N
5.026 -0.595 0.903 N
```

No. 21
This record from the Alexandria database describes ScSnGe after structural relaxation. The functional is PBE.

Space group   No. 12
Calculated formation energy   -0.372 eV per atom
Final energy   -5.356 eV/atom
Offset from the most stable computed form   136 meV per atom

Geometry as POSCAR:
```
ScSnGe
1.0
4.935 -2.088 0.000
4.935 2.088 0.000
-1.619 0.000 6.208
Sc Sn Ge
2 2 2
Cartesian
1.050 0.000 1.875 Sc
7.199 0.000 4.333 Sc
4.935 0.000 0.000 Sn
4.125 0.000 3.104 Sn
0.386 0.000 5.038 Ge
7.864 0.000 1.170 Ge
```

No. 22
This record from the Alexandria database describes Sr2TbPaO6 after structural relaxation. The functional is PBE.

Space group   No. 14
Final energy   -8.102 eV/atom

Geometry as POSCAR:
```
Sr2TbPaO6
1.0
6.022 0.000 0.000
0.000 6.166 0.000
-6.006 0.000 8.607
Sr Tb Pa O
4 2 2 12
Cartesian
-0.068 0.273 2.143 Sr
-3.071 2.811 6.446 Sr
3.088 3.356 2.161 Sr
0.085 5.894 6.465 Sr
-3.003 0.000 4.304 Tb
0.000 3.083 0.000 Tb
3.011 0.000 0.000 Pa
0.008 3.083 4.304 Pa
-4.755 1.212 8.149 O
-1.752 1.871 3.846 O
-4.177 4.377 8.107 O
-1.174 4.872 3.803 O
-2.374 0.256 6.510 O
0.629 2.827 2.206 O
-0.613 3.339 6.401 O
2.390 5.911 2.097 O
1.190 1.294 4.804 O
4.193 1.789 0.500 O
1.768 4.296 4.761 O
4.771 4.954 0.458 O
```

No. 23
This record from the Alexandria database describes TiAlCl2 after structural relaxation. The functional is PBE.

Space group   No. 166
Final energy   -4.597 eV/atom
Offset from the most stable computed form   0 meV per atom

Geometry as POSCAR:
```
TiAlCl2
1.0
1.585 0.915 9.239
-1.585 0.915 9.239
0.000 -1.830 9.239
Ti Al Cl
1 1 2
Cartesian
0.000 0.000 0.000 Ti
0.000 0.000 13.859 Al
0.000 0.000 10.914 Cl
0.000 0.000 16.803 Cl
```

No. 24
This record from the Alexandria database describes Ca2CdTc after structural relaxation. The functional is PBE.

Space group   No. 44
Calculated formation energy   0.325 eV per atom
Final energy   -3.496 eV/atom

Geometry as POSCAR:
```
Ca2CdTc
1.0
-1.740 2.615 5.498
1.740 -2.615 5.498
1.740 2.615 -5.498
Ca Cd Tc
2 1 1
Cartesian
0.000 0.000 0.000 Ca
0.000 2.615 2.255 Ca
0.000 0.000 4.774 Cd
1.740 0.000 2.606 Tc
```